Record 1
The following is a PBE-GGA calculation of FeCuMo2 after structural relaxation, from Alexandria.

Cell: 4.6473 4.6473 4.8444 Å, 83.48 83.48 32.46°
Each line ends with the local moment (μB).
Fractional positions:
Fe 0.2449 0.2449 0.2582  2.17
Mo 0.7568 0.7568 0.7368  -0.01
Mo 0.9944 0.9944 0.0103  -0.04
Cu 0.5039 0.5039 0.4947  0.02

Summary:
- E_form: 5.615 kcal/mol of atoms
- ΔE to the lowest computed polymorph: 0.086 eV per atom

Record 2
The following is a PBE-GGA calculation of FeCuMo2 after structural relaxation, from Alexandria.

Cell: 4.2566 4.2566 4.2566 Å, 60.00 60.00 60.00°
Fractional positions:
Mo 0.2500 0.2500 0.2500
Fe 0.0000 0.0000 0.0000
Cu 0.5000 0.5000 0.5000
Mo 0.7500 0.7500 0.7500

Summary:
- E_form: 10.000 kcal/mol of atoms
- ΔE to the lowest computed polymorph: 0.276 eV per atom

Record 3
The following is a PBE-GGA calculation of FeCu4Mo after structural relaxation, from Alexandria.

Cell: 4.7524 4.7524 4.7524 Å, 60.00 60.00 60.00°
Each line ends with the local moment (μB).
Fractional positions:
Cu 0.3753 0.3753 0.3753  -0.06
Fe 0.7500 0.7500 0.7500  2.46
Mo 0.0000 0.0000 0.0000  -1.21
Cu 0.3753 0.3753 0.8741  -0.06
Cu 0.8741 0.3753 0.3753  -0.06
Cu 0.3753 0.8741 0.3753  -0.06

Summary:
- E_form: 6.272 kcal/mol of atoms

Record 4
The following is a PBE-GGA calculation of FeCuMo2 after structural relaxation, from Alexandria.

Cell: 2.6964 3.7361 5.3656 Å, 90.00 90.00 90.00°
Each line ends with the local moment (μB).
Fractional positions:
Fe 0.5000 0.5000 0.7500  0.18
Mo 0.0000 0.0000 0.9881  -0.01
Cu 0.5000 0.5000 0.2500  0.01
Mo 0.0000 0.0000 0.5119  -0.01

Summary:
- E_form: 4.472 kcal/mol of atoms
- ΔE to the lowest computed polymorph: 0.037 eV per atom

E_form of number 3 (FeCu4Mo)?
6.272 kcal/mol of atoms

Which value of E_form does entry 1 give?
5.615 kcal/mol of atoms

Copy entry 1 word for word.
The following is a PBE-GGA calculation of FeCuMo2 after structural relaxation, from Alexandria.

Cell: 4.6473 4.6473 4.8444 Å, 83.48 83.48 32.46°
Each line ends with the local moment (μB).
Fractional positions:
Fe 0.2449 0.2449 0.2582  2.17
Mo 0.7568 0.7568 0.7368  -0.01
Mo 0.9944 0.9944 0.0103  -0.04
Cu 0.5039 0.5039 0.4947  0.02

Summary:
- E_form: 5.615 kcal/mol of atoms
- ΔE to the lowest computed polymorph: 0.086 eV per atom

What did the second record say?
The following is a PBE-GGA calculation of FeCuMo2 after structural relaxation, from Alexandria.

Cell: 4.2566 4.2566 4.2566 Å, 60.00 60.00 60.00°
Fractional positions:
Mo 0.2500 0.2500 0.2500
Fe 0.0000 0.0000 0.0000
Cu 0.5000 0.5000 0.5000
Mo 0.7500 0.7500 0.7500

Summary:
- E_form: 10.000 kcal/mol of atoms
- ΔE to the lowest computed polymorph: 0.276 eV per atom